Entry 1:
Here is a relaxed Ba3RuAu crystal from Alexandria via LeMat-Bulk. Energies are from GGA-PBE.

abc: 5.841 5.841 5.841
angles: 90.00 90.00 90.00
Fractional coordinates of all 5 atoms:
Ba: 0.000 0.500 0.000
Ru: 0.000 0.000 0.000
Au: 0.500 0.500 0.500
Ba: 0.000 0.000 0.500
Ba: 0.500 0.000 0.000

Calculated values
**Energy above the lowest structure with this stoichiometry**: 0.0 meV/atom
**Space group**: Pm-3m, No. 221
**E**: -3.58 eV/atom



Entry 2:
Here is a relaxed TaAlPd6 crystal from Alexandria via LeMat-Bulk. Energies are from GGA-PBE.

abc: 3.944 3.944 7.850
angles: 90.00 90.00 90.00
Fractional coordinates of all 8 atoms:
Pd: 0.500 0.500 0.000
Pd: 0.000 0.500 0.748
Pd: 0.500 0.000 0.252
Pd: 0.500 0.000 0.748
Al: 0.000 0.000 0.000
Ta: 0.000 0.000 0.500
Pd: 0.000 0.500 0.252
Pd: 0.500 0.500 0.500

Calculated values
**Energy above the lowest structure with this stoichiometry**: 0.0 meV/atom
**Space group**: P4/mmm, No. 123
**E**: -6.43 eV/atom



Entry 3:
Here is a relaxed In12Hg5Sb3 crystal from Alexandria via LeMat-Bulk. Energies are from GGA-PBE.

abc: 15.141 15.141 15.141
angles: 109.47 109.47 109.47
Fractional coordinates of all 80 atoms:
Sb: 0.625 0.250 0.375
Sb: 0.750 0.875 0.625
In: 0.333 0.775 0.410
Hg: 0.500 0.000 0.000
In: 0.442 0.667 0.077
In: 0.135 0.725 0.558
In: 0.058 0.635 0.725
In: 0.077 0.167 0.442
Hg: 0.750 0.125 0.875
In: 0.910 0.833 0.775
Hg: 0.375 0.125 0.750
In: 0.090 0.167 0.225
Hg: 0.500 0.500 0.000
Hg: 0.625 0.750 0.875
In: 0.942 0.577 0.167
In: 0.667 0.225 0.590
In: 0.410 0.275 0.333
In: 0.135 0.410 0.077
Hg: 0.000 0.000 0.000
In: 0.725 0.590 0.167
Hg: 0.000 0.000 0.500
Hg: 0.125 0.375 0.250
In: 0.423 0.058 0.333
In: 0.090 0.923 0.365
Hg: 0.750 0.625 0.375
Hg: 0.000 0.500 0.500
Sb: 0.875 0.750 0.125
In: 0.275 0.865 0.942
Hg: 0.500 0.500 0.500
In: 0.833 0.910 0.275
Hg: 0.250 0.875 0.125
Hg: 0.250 0.375 0.625
In: 0.365 0.423 0.090
In: 0.725 0.135 0.058
Hg: 0.625 0.875 0.250
In: 0.225 0.558 0.635
In: 0.635 0.058 0.225
In: 0.275 0.410 0.833
In: 0.775 0.333 0.910
In: 0.590 0.725 0.667
Sb: 0.750 0.375 0.125
In: 0.577 0.635 0.410
In: 0.775 0.442 0.365
In: 0.058 0.423 0.833
In: 0.865 0.275 0.442
Sb: 0.125 0.875 0.750
Sb: 0.250 0.125 0.375
Hg: 0.125 0.750 0.375
Sb: 0.375 0.625 0.250
Hg: 0.375 0.250 0.125
Hg: 0.000 0.500 0.000
In: 0.577 0.942 0.667
In: 0.333 0.558 0.423
In: 0.590 0.865 0.423
In: 0.167 0.077 0.942
In: 0.365 0.942 0.775
In: 0.442 0.775 0.865
In: 0.923 0.833 0.558
In: 0.410 0.135 0.577
In: 0.667 0.442 0.577
Sb: 0.875 0.125 0.250
In: 0.833 0.923 0.058
In: 0.865 0.590 0.923
In: 0.077 0.910 0.135
In: 0.423 0.365 0.590
In: 0.635 0.577 0.910
Sb: 0.625 0.375 0.750
Hg: 0.500 0.000 0.500
In: 0.167 0.090 0.725
Hg: 0.875 0.250 0.625
Sb: 0.375 0.750 0.625
In: 0.558 0.333 0.923
Sb: 0.250 0.625 0.875
Hg: 0.875 0.625 0.750
In: 0.558 0.225 0.135
In: 0.225 0.667 0.090
In: 0.942 0.365 0.275
In: 0.910 0.077 0.635
In: 0.923 0.090 0.865
Sb: 0.125 0.250 0.875

Calculated values
**Space group**: Ia-3d, No. 230
**Formation energy without anion corrections**: 0.0990 eV/atom
**E**: -2.24 eV/atom



Entry 4:
Here is a relaxed TbEu2Pt crystal from Alexandria via LeMat-Bulk. Energies are from GGA-PBE.

abc: 3.816 3.816 10.967
angles: 79.98 79.98 60.00
Each line ends with the local moment (μB).
Fractional coordinates of all 4 atoms:
Eu: 0.109 0.109 0.674  6.87
Eu: 0.891 0.891 0.326  6.87
Pt: 0.500 0.500 0.500  -0.08
Tb: 0.000 0.000 0.000  0.24

Calculated values
**Space group**: R-3m, No. 166
**E**: -8.01 eV/atom



Entry 5:
Here is a relaxed Tb2Pr6ErTm3 crystal from Alexandria via LeMat-Bulk. Energies are from GGA-PBE.

abc: 6.285 6.285 11.828
angles: 95.07 95.07 119.99
Fractional coordinates of all 12 atoms:
Pr: 0.084 0.417 0.251
Er: 0.000 0.000 0.000
Pr: 0.249 0.249 0.748
Pr: 0.916 0.583 0.749
Tb: 0.667 0.333 0.000
Tm: 0.500 0.500 0.500
Tb: 0.333 0.667 0.000
Tm: 0.167 0.833 0.500
Pr: 0.751 0.751 0.252
Pr: 0.583 0.916 0.749
Pr: 0.417 0.084 0.251
Tm: 0.833 0.167 0.500

Calculated values
**Space group**: C2/m, No. 12
**E**: -4.65 eV/atom



Entry 6:
Here is a relaxed CeScBi crystal from Alexandria via LeMat-Bulk. Energies are from GGA-PBE.

abc: 6.236 7.723 7.723
angles: 90.00 90.00 90.00
Each line ends with the local moment (μB).
Fractional coordinates of all 12 atoms:
Ce: 0.000 0.183 0.500  0.79
Sc: 0.000 0.198 0.000  -0.07
Ce: 0.500 0.500 0.817  0.79
Sc: 0.500 0.000 0.198  -0.07
Bi: 0.500 0.756 0.500  -0.01
Ce: 0.500 0.500 0.183  0.79
Bi: 0.000 0.500 0.756  -0.01
Ce: 0.000 0.817 0.500  0.79
Sc: 0.000 0.802 0.000  -0.07
Bi: 0.500 0.244 0.500  -0.01
Bi: 0.000 0.500 0.244  -0.01
Sc: 0.500 0.000 0.802  -0.07

Calculated values
**Space group**: P4_2/mmc, No. 131
**E**: -5.54 eV/atom



Entry 7:
Here is a relaxed SbC4 crystal from Alexandria via LeMat-Bulk. Energies are from GGA-PBE.

abc: 6.616 6.616 6.616
angles: 153.64 153.64 37.62
Fractional coordinates of all 5 atoms:
C: 0.250 0.750 0.500
C: 0.750 0.250 0.500
Sb: 0.000 0.000 0.000
C: 0.804 0.804 0.000
C: 0.196 0.196 0.000

Calculated values
**Energy above the lowest structure with this stoichiometry**: 770.2 meV/atom
**Space group**: I4/mmm, No. 139
**Formation energy without anion corrections**: 1.8227 eV/atom
**E**: -6.38 eV/atom



Entry 8:
Here is a relaxed NaLiCuF3 crystal from Alexandria via LeMat-Bulk. Energies are from GGA-PBE.

abc: 5.843 5.843 5.548
angles: 67.37 67.37 63.08
Fractional coordinates of all 12 atoms:
F: 0.125 0.700 0.881
Na: 0.297 0.297 0.146
Cu: 0.232 0.768 0.500
Li: 0.123 0.123 0.827
F: 0.308 0.308 0.540
F: 0.875 0.300 0.119
Cu: 0.768 0.232 0.500
F: 0.692 0.692 0.460
F: 0.300 0.875 0.119
Na: 0.703 0.703 0.854
F: 0.700 0.125 0.881
Li: 0.877 0.877 0.173

Calculated values
**Space group**: C2/m, No. 12
**Formation energy without anion corrections**: -2.1021 eV/atom
**E**: -4.26 eV/atom



Entry 9:
Here is a relaxed NiIrPt crystal from Alexandria via LeMat-Bulk. Energies are from GGA-PBE.

abc: 2.729 2.729 11.119
angles: 90.00 90.00 90.00
Each line ends with the local moment (μB).
Fractional coordinates of all 6 atoms:
Ir: 0.000 0.000 0.642  -0.01
Ni: 0.500 0.500 0.127  0.66
Ni: 0.500 0.500 0.800  0.11
Ir: 0.500 0.500 0.474  0.02
Pt: 0.000 0.000 0.291  0.14
Pt: 0.000 0.000 0.964  0.17

Calculated values
**Energy above the lowest structure with this stoichiometry**: 0.0 meV/atom
**Space group**: P4mm, No. 99
**E**: -6.93 eV/atom



Entry 10:
Here is a relaxed ScTa2NbGa crystal from Alexandria via LeMat-Bulk. Energies are from GGA-PBE.

abc: 4.857 5.135 4.857
angles: 90.00 90.00 90.00
Fractional coordinates of all 5 atoms:
Ta: 0.000 0.000 0.500
Sc: 0.000 0.500 0.000
Nb: 0.000 0.000 0.000
Ta: 0.500 0.000 0.000
Ga: 0.500 0.500 0.500

Calculated values
**Space group**: P4/mmm, No. 123
**E**: -7.32 eV/atom



Entry 11:
Here is a relaxed CsTcP2O crystal from Alexandria via LeMat-Bulk. Energies are from GGA-PBE.

abc: 5.394 5.394 4.194
angles: 90.00 90.00 90.00
Each line ends with the local moment (μB).
Fractional coordinates of all 5 atoms:
Cs: 0.000 0.000 0.000  -0.02
P: 0.000 0.500 0.000  -0.13
Tc: 0.500 0.500 0.500  3.63
P: 0.500 0.000 0.000  -0.13
O: 0.000 0.000 0.500  -0.02

Calculated values
**Energy above the lowest structure with this stoichiometry**: 2032.9 meV/atom
**Space group**: P4/mmm, No. 123
**Formation energy without anion corrections**: 2.0170 eV/atom
**E**: -3.38 eV/atom



Entry 12:
Here is a relaxed Li2PtW crystal from Alexandria via LeMat-Bulk. Energies are from GGA-PBE.

abc: 4.459 4.459 2.714
angles: 90.00 90.00 90.00
Each line ends with the local moment (μB).
Fractional coordinates of all 4 atoms:
Pt: 0.500 0.000 0.500  0.09
W: 0.000 0.500 0.500  0.69
Li: 0.500 0.500 0.000  0.03
Li: 0.000 0.000 0.000  0.03

Calculated values
**Energy above the lowest structure with this stoichiometry**: 457.2 meV/atom
**Space group**: P4/mmm, No. 123
**E**: -5.30 eV/atom



- What is the E in the eighth record?
  -4.26 eV/atom